Entry 1:
PrTaSb | PBE | optimized geometry

Properties
magnetization: 0.7 Bohr magnetons per cell
formation energy (no corrections): -52 meV/atom
theoretical density: 9.27 g cm⁻³
space group: C2/m, No. 12

Lattice parameters (Å, degrees): 11.7426 3.2691 8.7074 90.00 107.93 90.00
Last column: nearest neighbours and their distance in Å.
Sites, in units of the cell vectors:
Pr (0.1521, 0.0000, 0.1362)  5 Sb 3.21-3.40, 3 Ta 3.26-3.56, 2 Pr 3.27
Pr (0.3479, 0.5000, 0.8638)  5 Sb 3.21-3.40, 3 Ta 3.26-3.56, 2 Pr 3.27
Pr (0.6521, 0.5000, 0.1362)  5 Sb 3.21-3.40, 3 Ta 3.26-3.56, 2 Pr 3.27
Pr (0.8479, 0.0000, 0.8638)  5 Sb 3.21-3.40, 3 Ta 3.26-3.56, 2 Pr 3.27
Ta (0.1574, 0.5000, 0.5014)  2 Ta 2.73, 2 Sb 2.94
Ta (0.3426, 0.0000, 0.4986)  2 Ta 2.73, 2 Sb 2.94
Ta (0.6574, 0.0000, 0.5014)  2 Ta 2.73, 2 Sb 2.94
Ta (0.8426, 0.5000, 0.4986)  2 Ta 2.73, 2 Sb 2.94
Sb (0.0619, 0.5000, 0.7761)  2 Ta 2.94, 3 Pr 3.21-3.28, 2 Sb 3.27
Sb (0.4381, 0.0000, 0.2239)  2 Ta 2.94, 3 Pr 3.21-3.28, 2 Sb 3.27
Sb (0.5619, 0.0000, 0.7761)  2 Ta 2.94, 3 Pr 3.21-3.28, 2 Sb 3.27
Sb (0.9381, 0.5000, 0.2239)  2 Ta 2.94, 3 Pr 3.21-3.28, 2 Sb 3.27

Entry 2:
PmPrTe6 | PBE | optimized geometry

Properties
magnetization: 0.0 Bohr magnetons per cell
formation energy (no corrections): -988 meV/atom
theoretical density: 6.60 g cm⁻³
space group: Amm2, No. 38

Lattice parameters (Å, degrees): 4.3940 4.3928 27.4295 90.00 90.00 90.00
Last column: nearest neighbours and their distance in Å.
Sites, in units of the cell vectors:
Pm (0.0000, 0.0000, 0.0000)  9 Te 3.25-3.37
Pm (0.0000, 0.5000, 0.5000)  9 Te 3.25-3.37
Pr (0.5000, 0.0000, 0.6562)  9 Te 3.26-3.40
Pr (0.5000, 0.5000, 0.1562)  9 Te 3.26-3.40
Te (0.0000, 0.0000, 0.1201)  4 Pr 3.26, 1 Pm 3.29
Te (0.0000, 0.0000, 0.4066)  4 Te 3.11, 2 Pm 3.37
Te (0.0000, 0.0000, 0.7509)  4 Te 3.11, 2 Pr 3.40
Te (0.0000, 0.5000, 0.2509)  4 Te 3.11, 2 Pr 3.40
Te (0.0000, 0.5000, 0.6201)  4 Pr 3.26, 1 Pm 3.29
Te (0.0000, 0.5000, 0.9066)  4 Te 3.11, 2 Pm 3.37
Te (0.5000, 0.0000, 0.2510)  4 Te 3.11, 2 Pr 3.40
Te (0.5000, 0.0000, 0.5347)  4 Pm 3.25, 1 Pr 3.33
Te (0.5000, 0.0000, 0.9067)  4 Te 3.11, 2 Pm 3.37
Te (0.5000, 0.5000, 0.0347)  4 Pm 3.25, 1 Pr 3.33
Te (0.5000, 0.5000, 0.4067)  4 Te 3.11, 2 Pm 3.37
Te (0.5000, 0.5000, 0.7510)  4 Te 3.11, 2 Pr 3.40

Entry 3:
CaPmIr2O8 | PBE | optimized geometry

Properties
magnetization: 1.0 Bohr magnetons per cell
formation energy (no corrections): -1297 meV/atom
theoretical density: 5.42 g cm⁻³
space group: P-3m1, No. 164

Lattice parameters (Å, degrees): 5.9552 5.9552 6.9528 90.00 90.00 120.00
Last column: nearest neighbours and their distance in Å.
Sites, in units of the cell vectors:
Ca (0.0000, 0.0000, 0.0000)  6 O 2.48
Pm (0.0000, 0.0000, 0.5000)  6 O 2.33
Ir (0.3333, 0.6667, 0.8174)  4 O 1.80-1.87
Ir (0.6667, 0.3333, 0.1826)  4 O 1.80-1.87
O (0.1606, 0.3211, 0.7355)  1 Ir 1.87
O (0.1606, 0.8394, 0.7355)  1 Ir 1.87
O (0.3211, 0.1606, 0.2645)  1 Ir 1.87
O (0.3333, 0.6667, 0.0762)  1 Ir 1.80
O (0.6667, 0.3333, 0.9238)  1 Ir 1.80
O (0.6789, 0.8394, 0.7355)  1 Ir 1.87
O (0.8394, 0.1606, 0.2645)  1 Ir 1.87
O (0.8394, 0.6789, 0.2645)  1 Ir 1.87

Q: Which of these has the highest magnetization?
A: CaPmIr2O8